Here is La4Ge2AsCl after structural relaxation from the Alexandria database. Energies are from PBE.

- Space-group type: No. 139
- N(E_F): 4.47 states/eV per cell
- Raw formation energy: -1.29 eV per atom
- V: 468.2 Å³ per cell
- E_tot: -5.72 eV per atom

a b c (Å): 6.164 6.164 12.323
angles (deg): 90.00 90.00 90.00
Atoms (fractional coordinates):
La (0.000, 0.000, 0.245)
La (0.000, 0.000, 0.755)
La (0.000, 0.500, 0.000)
La (0.000, 0.500, 0.500)
La (0.500, 0.000, 0.000)
La (0.500, 0.000, 0.500)
La (0.500, 0.500, 0.255)
La (0.500, 0.500, 0.745)
Ge (0.000, 0.500, 0.250)
Ge (0.000, 0.500, 0.750)
Ge (0.500, 0.000, 0.250)
Ge (0.500, 0.000, 0.750)
As (0.000, 0.000, 0.000)
As (0.500, 0.500, 0.500)
Cl (0.000, 0.000, 0.500)
Cl (0.500, 0.500, 0.000)